Entry from Alexandria: a relaxed structure of TbPmNdS3 (PBE).

It has space group P2_1/m (No. 11), with a = 6.937 Å, b = 3.928 Å, c = 10.441 Å, α = 90.00°, β = 102.33° and γ = 90.00°. Symmetry generates all atoms from Tb at (0.126, 0.250, 0.128), Pm at (0.341, 0.250, 0.806), Nd at (0.235, 0.750, 0.445), S at (0.057, 0.750, 0.666), S at (0.280, 0.750, 0.998) and S at (0.454, 0.250, 0.327).

Entry from Alexandria: a relaxed structure of TbPm3Nd4S8 (PBE).

It has space group R-3m (No. 166, hexagonal axes), with a = 8.0731 Å, b = 8.0731 Å, c = 19.8281 Å, α = 90.00°, β = 90.00° and γ = 120.00°. Symmetry generates all atoms from Tb at (0.0000, 0.0000, 0.0000), Pm at (0.0000, 0.5000, 0.0000), Nd at (0.0000, 0.0000, 0.5000), Nd at (0.0000, 0.5000, 0.5000), S at (0.0000, 0.0000, 0.2512) and S at (0.0051, 0.5026, 0.7476).

Entry from Alexandria: a relaxed structure of Tb2PmNdS4 (PBE).

It has space group P2/m (No. 10), with a = 6.889 Å, b = 3.944 Å, c = 6.989 Å, α = 90.00°, β = 108.91° and γ = 90.00°. Symmetry generates all atoms from Tb at (0.000, 0.000, 0.000), Tb at (0.500, 0.500, 0.000), Pm at (0.000, 0.500, 0.500), Nd at (0.500, 0.000, 0.500), S at (0.244, 0.500, 0.237) and S at (0.253, 0.000, 0.762).

Entry from Alexandria: a relaxed structure of Tb3PmNd3S8 (PBE).

It has space group R-3m (No. 166, hexagonal axes), with a = 7.9640 Å, b = 7.9640 Å, c = 19.6907 Å, α = 90.00°, β = 90.00° and γ = 120.00°. Symmetry generates all atoms from Tb at (0.0000, 0.5000, 0.0000), Pm at (0.0000, 0.0000, 0.0000), Nd at (0.0000, 0.5000, 0.5000), S at (0.0000, 0.0000, 0.2542) and S at (0.0081, 0.5040, 0.2523).

Entry from Alexandria: a relaxed structure of Tb4Pm3NdS8 (PBE).

It has space group R-3m (No. 166, hexagonal axes), with a = 7.9415 Å, b = 7.9415 Å, c = 19.6824 Å, α = 90.00°, β = 90.00° and γ = 120.00°. Symmetry generates all atoms from Tb at (0.0000, 0.0000, 0.0000), Tb at (0.0000, 0.5000, 0.0000), Pm at (0.0000, 0.5000, 0.5000), Nd at (0.0000, 0.0000, 0.5000), S at (0.0000, 0.0000, 0.2536) and S at (0.0014, 0.5007, 0.7460).

Entry from Alexandria: a relaxed structure of Pm2Nd2Te2S3 (PBE).

It has space group I4/mmm (No. 139), with a = 5.525 Å, b = 5.525 Å, c = 16.073 Å, α = 90.00°, β = 90.00° and γ = 90.00°. Symmetry generates all atoms from Pm at (0.000, 0.500, 0.000), Nd at (0.000, 0.000, 0.195), Te at (0.000, 0.000, 0.392), S at (0.000, 0.000, 0.000) and S at (0.000, 0.500, 0.250).

Entry from Alexandria: a relaxed structure of PmNdTe2S (PBE).

It has space group P4/nmm (No. 129, origin choice 2), with a = 4.509 Å, b = 4.509 Å, c = 16.065 Å, α = 90.00°, β = 90.00° and γ = 90.00°. Symmetry generates all atoms from Pm at (0.250, 0.250, 0.100), Nd at (0.250, 0.250, 0.617), Te at (0.250, 0.250, 0.407), Te at (0.250, 0.250, 0.803) and S at (0.250, 0.750, 0.000).

Entry from Alexandria: a relaxed structure of PmNdTeS (PBE).

It has space group R3m (No. 160, hexagonal axes), with a = 4.0769 Å, b = 4.0769 Å, c = 23.2375 Å, α = 90.00°, β = 90.00° and γ = 120.00°. Symmetry generates all atoms from Pm at (0.0000, 0.0000, 0.0000), Nd at (0.0000, 0.0000, 0.1554), Te at (0.0000, 0.0000, 0.5788) and S at (0.0000, 0.0000, 0.4092).

Computed raw formation energy, in the same sequence as the records: -1.937, -2.022, -2.021, -2.048, -2.019, -1.571, -1.514, -1.588 eV/atom.